No. 1
Material: Y2BeTl
Method: DFT, GGA-PBEsol
State: relaxed

Structure (POSCAR):
```
Y2BeTl
1.0
-0.721 -2.915 2.034
1.675 -3.144 -0.679
6.716 0.209 5.913
Y Be Tl
2 1 1
direct
0.238 0.238 0.285
0.762 0.762 0.715
0.500 0.500 0.500
0.000 0.000 0.000
```

D(E_F)	3.523	states/eV per cell
size of the total moment	0.0	μB per cell
ΔE to the lowest computed polymorph	0.84	eV per formula unit
V	99.1	Å³ per cell
energy relative to the elements	0.013	eV/atom

***

No. 2
Material: Y2BeTl
Method: DFT, GGA-PBEsol
State: relaxed

Structure (POSCAR):
```
Y2BeTl
1.0
5.077 0.000 0.000
2.539 4.397 0.000
2.539 1.466 4.145
Y Be Tl
2 1 1
direct
0.250 0.250 0.250
0.750 0.750 0.750
0.000 0.000 0.000
0.500 0.500 0.500
```

D(E_F)	3.641	states/eV per cell
size of the total moment	0.0	μB per cell
ΔE to the lowest computed polymorph	0.27	eV per formula unit
V	92.5	Å³ per cell
energy relative to the elements	-0.129	eV/atom

***

No. 3
Material: BeTlZn2
Method: DFT, GGA-PBEsol
State: relaxed

Structure (POSCAR):
```
BeTlZn2
1.0
2.891 0.000 0.000
0.000 2.891 0.000
0.000 0.000 7.867
Be Tl Zn
1 1 2
direct
0.500 0.500 0.000
0.500 0.500 0.500
0.000 0.000 0.823
0.000 0.000 0.177
```

D(E_F)	1.377	states/eV per cell
size of the total moment	0.0	μB per cell
ΔE to the lowest computed polymorph	0.00	eV per formula unit
V	65.8	Å³ per cell
energy relative to the elements	0.292	eV/atom

***

No. 4
Material: BeTl2Zn
Method: DFT, GGA-PBEsol
State: relaxed

Structure (POSCAR):
```
BeTl2Zn
1.0
3.295 0.015 0.000
-0.798 3.197 0.000
0.000 0.000 7.645
Be Tl Zn
1 2 1
direct
0.500 0.500 0.000
0.000 0.000 0.228
0.000 0.000 0.772
0.500 0.500 0.500
```

D(E_F)	1.579	states/eV per cell
size of the total moment	0.0	μB per cell
ΔE to the lowest computed polymorph	0.73	eV per formula unit
V	80.6	Å³ per cell
energy relative to the elements	0.502	eV/atom

***

No. 5
Material: BeTlZn2
Method: DFT, GGA-PBEsol
State: relaxed

Structure (POSCAR):
```
BeTlZn2
1.0
2.846 0.000 0.000
1.423 5.157 0.041
1.423 2.228 4.651
Be Tl Zn
1 1 2
direct
0.478 0.522 0.522
0.235 0.265 0.265
0.021 0.979 0.979
0.766 0.734 0.734
```

D(E_F)	1.298	states/eV per cell
size of the total moment	0.0	μB per cell
ΔE to the lowest computed polymorph	0.64	eV per formula unit
V	68.0	Å³ per cell
energy relative to the elements	0.453	eV/atom

***

No. 6
Material: BeTl2Zn
Method: DFT, GGA-PBEsol
State: relaxed

Structure (POSCAR):
```
BeTl2Zn
1.0
-2.792 -2.736 1.072
0.840 -4.610 -1.914
1.769 -3.597 3.090
Be Tl Zn
1 2 1
direct
0.000 0.500 0.500
0.271 0.729 0.729
0.729 0.271 0.271
0.500 0.000 0.000
```

D(E_F)	1.657	states/eV per cell
size of the total moment	0.0	μB per cell
ΔE to the lowest computed polymorph	0.77	eV per formula unit
V	80.9	Å³ per cell
energy relative to the elements	0.514	eV/atom